Here is an optimized crystal structure of Y2TaTl from Alexandria via LeMat-Bulk. Energies are from PBE.

a = 6.0729 Å, b = 6.0729 Å, c = 5.5947 Å
α = 74.97°, β = 74.97°, γ = 31.07°
Positions (direct):
Ta: 0.4752 0.4752 0.4621
Tl: 0.7772 0.7772 0.7819
Y: 0.0233 0.0233 0.9484
Y: 0.2243 0.2243 0.3075

Output
For the energy of formation from the pure elements, the calculation gives 3.72 kcal/mol of atoms. For the final energy, the calculation gives -6.6256 eV per atom. Its calculated volume is 25.641 Å³/atom. The space-group type is Cm. The relative energy among the computed polymorphs is 9.2 kJ/mol of atoms.